[1]
A plane-wave DFT calculation with PBE was carried out for an optimized crystal structure of DyY2Al.

abc: 6.846 6.846 5.315
angles: 90.00 90.00 119.74
Fractional coordinates of all 8 atoms:
Dy 0.175 0.825 0.750
Dy 0.825 0.175 0.250
Y 0.173 0.350 0.750
Y 0.350 0.173 0.250
Y 0.650 0.827 0.750
Y 0.827 0.650 0.250
Al 0.333 0.667 0.250
Al 0.667 0.333 0.750

Space-group type: No. 63
Mass density in g/cm3: 5.64
Electronic total energy in eV per cell: -44.133
Relative energy among the computed polymorphs in meV per atom: 0
M_tot in μB/cell: 0.1

=====

[2]
A plane-wave DFT calculation with PBE was carried out for an optimized crystal structure of KTmAu.

abc: 5.064 5.064 5.064
angles: 60.00 60.00 60.00
Fractional coordinates of all 3 atoms:
K 0.000 0.000 0.000
Tm 0.750 0.750 0.750
Au 0.500 0.500 0.500

Space-group type: No. 216
Mass density in g/cm3: 7.32
Electronic total energy in eV per cell: -7.871
Relative energy among the computed polymorphs in meV per atom: 0
M_tot in μB/cell: 0.0

=====

[3]
A plane-wave DFT calculation with PBE was carried out for an optimized crystal structure of SmTePbAuS2.

abc: 7.392 7.392 11.247
angles: 90.00 90.00 147.76
Fractional coordinates of all 12 atoms:
Sm 0.000 0.000 0.000
Sm 0.000 0.000 0.500
Te 0.112 0.888 0.750
Te 0.888 0.112 0.250
Pb 0.203 0.797 0.250
Pb 0.797 0.203 0.750
Au 0.477 0.523 0.750
Au 0.523 0.477 0.250
S 0.373 0.627 0.567
S 0.373 0.627 0.933
S 0.627 0.373 0.067
S 0.627 0.373 0.433

Space-group type: No. 63
Mass density in g/cm3: 7.56
Electronic total energy in eV per cell: -56.772
M_tot in μB/cell: 0.0

=====

[4]
A plane-wave DFT calculation with PBE was carried out for an optimized crystal structure of K2HfTlBr6.

abc: 8.239 8.239 8.239
angles: 60.00 60.00 60.00
Fractional coordinates of all 10 atoms:
K 0.250 0.250 0.250
K 0.750 0.750 0.750
Hf 0.000 0.000 0.000
Tl 0.500 0.500 0.500
Br 0.229 0.229 0.771
Br 0.229 0.771 0.229
Br 0.229 0.771 0.771
Br 0.771 0.229 0.229
Br 0.771 0.229 0.771
Br 0.771 0.771 0.229

Space-group type: No. 225
Mass density in g/cm3: 3.95
Electronic total energy in eV per cell: -37.250
M_tot in μB/cell: 1.0

=====

[5]
A plane-wave DFT calculation with PBE was carried out for an optimized crystal structure of DyTlSn.

abc: 5.158 5.158 5.158
angles: 60.00 60.00 60.00
Fractional coordinates of all 3 atoms:
Dy 0.000 0.000 0.000
Tl 0.500 0.500 0.500
Sn 0.250 0.250 0.250

Space-group type: No. 216
Mass density in g/cm3: 8.31
Electronic total energy in eV per cell: -11.143
Relative energy among the computed polymorphs in meV per atom: 123
M_tot in μB/cell: 0.0

=====

[6]
A plane-wave DFT calculation with PBE was carried out for an optimized crystal structure of DyHoGe2.

abc: 3.925 7.943 5.762
angles: 90.00 90.00 90.00
Fractional coordinates of all 8 atoms:
Dy 0.000 0.070 0.000
Dy 0.500 0.930 0.500
Ho 0.000 0.570 0.263
Ho 0.500 0.430 0.763
Ge 0.000 0.209 0.526
Ge 0.000 0.707 0.738
Ge 0.500 0.293 0.238
Ge 0.500 0.791 0.026

Space-group type: No. 31
Mass density in g/cm3: 8.74
Electronic total energy in eV per cell: -43.778
M_tot in μB/cell: 0.0

=====

[7]
A plane-wave DFT calculation with PBE was carried out for an optimized crystal structure of Tm3Si4Au2.

abc: 5.710 5.710 8.125
angles: 102.44 102.44 43.29
Fractional coordinates of all 9 atoms:
Tm 0.000 0.000 0.000
Tm 0.338 0.338 0.327
Tm 0.662 0.662 0.673
Si 0.055 0.055 0.392
Si 0.275 0.275 0.948
Si 0.725 0.725 0.052
Si 0.945 0.945 0.608
Au 0.385 0.385 0.719
Au 0.615 0.615 0.281

Space-group type: No. 12
Mass density in g/cm3: 9.52
Electronic total energy in eV per cell: -48.406
M_tot in μB/cell: 0.0

=====

[8]
A plane-wave DFT calculation with PBE was carried out for an optimized crystal structure of SmHoFe8B2.

abc: 5.082 5.082 7.033
angles: 90.00 90.00 120.00
Fractional coordinates of all 12 atoms:
Sm 0.000 0.000 0.000
Ho 0.000 0.000 0.500
Fe 0.000 0.500 0.215
Fe 0.000 0.500 0.785
Fe 0.333 0.667 0.500
Fe 0.500 0.000 0.215
Fe 0.500 0.000 0.785
Fe 0.500 0.500 0.215
Fe 0.500 0.500 0.785
Fe 0.667 0.333 0.500
B 0.333 0.667 0.000
B 0.667 0.333 0.000

Space-group type: No. 191
Mass density in g/cm3: 8.27
Electronic total energy in eV per cell: -91.582
Relative energy among the computed polymorphs in meV per atom: 12
M_tot in μB/cell: 15.2